# 1
A plane-wave DFT calculation with PBE was carried out for a geometry-optimized Sr2AgI structure.

abc: 8.742 8.742 8.587
angles: 90.00 90.00 90.00
Space group I-42d (No. 122)
One atom of each set of equivalent atoms:
Sr1 0.228 0.250 0.125 (multiplicity 8)
Ag1 0.000 0.000 0.000 (multiplicity 4)
I1 0.000 0.000 0.500 (multiplicity 4)

Properties
Formation energy (no corrections) (eV/atom): -0.548
Calculated volume (Å³/cell): 656.20
Energy relative to the lowest polymorph listed for this composition (meV per atom): 196


# 2
A plane-wave DFT calculation with PBE was carried out for a geometry-optimized SrAgI4 structure.

abc: 7.228 8.088 8.644
angles: 90.00 101.65 90.00
Space group P2_1/c (No. 14)
One atom of each set of equivalent atoms:
Sr1 0.000 0.000 0.000 (multiplicity 2)
Ag1 0.500 0.000 0.500 (multiplicity 2)
I1 0.158 0.158 0.363 (multiplicity 4)
I2 0.345 0.702 0.358 (multiplicity 4)

Properties
Formation energy (no corrections) (eV/atom): -0.812
Calculated volume (Å³/cell): 494.93


# 3
A plane-wave DFT calculation with PBE was carried out for a geometry-optimized Sr2AgI structure.

abc: 4.008 4.008 8.700
angles: 90.00 90.00 90.00
Space group P4/mmm (No. 123)
One atom of each set of equivalent atoms:
Sr1 0.000 0.000 0.216 (multiplicity 2)
Ag1 0.500 0.500 0.000 (multiplicity 1)
I1 0.500 0.500 0.500 (multiplicity 1)

Properties
Formation energy (no corrections) (eV/atom): -0.681
Calculated volume (Å³/cell): 139.75
Energy relative to the lowest polymorph listed for this composition (meV per atom): 64


# 4
A plane-wave DFT calculation with PBE was carried out for a geometry-optimized SrAg2I4 structure.

abc: 6.682 6.682 7.056
angles: 90.00 90.00 90.00
Space group P-42m (No. 111)
One atom of each set of equivalent atoms:
Sr1 0.000 0.000 0.000 (multiplicity 1)
Ag1 0.000 0.500 0.500 (multiplicity 2)
I1 0.271 0.271 0.268 (multiplicity 4)

Properties
Formation energy (no corrections) (eV/atom): -0.799
Calculated volume (Å³/cell): 315.03
Energy relative to the lowest polymorph listed for this composition (meV per atom): 49


# 5
A plane-wave DFT calculation with PBE was carried out for a geometry-optimized Sr2AgI6 structure.

abc: 7.603 7.603 14.202
angles: 90.00 90.00 90.00
Space group P4_2/mnm (No. 136)
One atom of each set of equivalent atoms:
Sr1 0.000 0.000 0.165 (multiplicity 4)
Ag1 0.000 0.000 0.500 (multiplicity 2)
I1 0.188 0.188 0.348 (multiplicity 8)
I2 0.208 0.208 0.000 (multiplicity 4)

Properties
Formation energy (no corrections) (eV/atom): -1.073
Calculated volume (Å³/cell): 821.02


# 6
A plane-wave DFT calculation with PBE was carried out for a geometry-optimized SrAg2I structure.

abc: 7.718 7.718 7.718
angles: 90.00 90.00 90.00
Space group Fm-3m (No. 225)
One atom of each set of equivalent atoms:
Sr1 0.000 0.000 0.000 (multiplicity 4)
Ag1 0.250 0.250 0.250 (multiplicity 8)
I1 0.000 0.000 0.500 (multiplicity 4)

Properties
Formation energy (no corrections) (eV/atom): -0.085
Calculated volume (Å³/cell): 459.70
Energy relative to the lowest polymorph listed for this composition (meV per atom): 139